Record 1
4
Lattice="4.473 0.000 0.000 0.000 4.720 0.000 0.000 0.000 4.720" Properties=species:S:1:pos:R:3 comment="CeSc2In (PBE, relaxed)" volume_a3_per_cell=100 e_above_lowest_polymorph_mev_per_atom=5 dos_ef_per_ev_atom=2.02 ef_ev_per_fu=-0.807 pbc="T T T"
Sc 0.000 2.360 0.000
Ce 2.237 2.360 2.360
In 2.237 0.000 0.000
Sc 0.000 0.000 2.360

---

Record 2
16
Lattice="-1.178 -5.221 -0.526 6.099 -1.060 -3.136 4.396 -1.919 9.199" Properties=species:S:1:pos:R:3 comment="CeSc3In4 (PBE, relaxed)" volume_a3_per_cell=387 dos_ef_per_ev_atom=1.37 ef_ev_per_fu=-3.052 pbc="T T T"
In 0.826 -2.856 -0.990
In 4.096 -3.424 -2.672
In 7.845 -2.829 4.436
In 3.024 -3.816 3.609
Sc 0.647 -2.484 2.098
In 4.588 -2.263 6.110
In 4.729 -5.936 -0.573
In 1.473 -5.370 1.101
Sc 5.648 -5.065 5.019
Sc 0.000 0.000 0.000
Ce 5.248 -1.489 3.032
Sc 3.669 -3.135 0.518
Sc 2.571 -4.656 6.575
Ce 3.050 -0.530 -1.568
Sc 2.198 -0.959 4.600
In 6.294 -4.384 1.928

---

Record 3
12
Lattice="4.436 0.000 0.000 0.000 6.861 -0.478 0.000 -0.722 10.195" Properties=species:S:1:pos:R:3 comment="Ce3ScIn2 (PBE, relaxed)" volume_a3_per_cell=309 dos_ef_per_ev_atom=2.03 ef_ev_per_fu=-1.488 pbc="T T T"
In 3.327 0.283 9.231
Ce 1.109 2.284 7.528
Ce 3.327 0.243 5.794
In 3.327 3.906 5.609
Sc 3.327 0.539 2.281
Ce 3.327 3.551 8.829
In 1.109 2.233 4.107
Ce 1.109 2.588 0.888
In 1.109 5.856 0.486
Ce 3.327 3.856 2.189
Sc 1.109 5.601 7.435
Ce 1.109 5.897 3.922

---

Record 4
4
Lattice="-0.423 2.710 -4.340 0.715 -2.292 -4.538 -3.988 -0.783 -3.137" Properties=species:S:1:pos:R:3 comment="CeSc2In (PBE, relaxed)" volume_a3_per_cell=96 e_above_lowest_polymorph_mev_per_atom=85 dos_ef_per_ev_atom=1.68 ef_ev_per_fu=-0.485 pbc="T T T"
In -1.848 -0.182 -6.007
Sc -2.772 -0.273 -9.011
Ce 0.000 0.000 0.000
Sc -0.924 -0.091 -3.004

---

Record 5
4
Lattice="3.351 0.000 0.000 0.000 3.351 0.000 0.000 0.000 8.721" Properties=species:S:1:pos:R:3 comment="CeSc2In (PBE, relaxed)" volume_a3_per_cell=98 e_above_lowest_polymorph_mev_per_atom=0 dos_ef_per_ev_atom=1.44 ef_ev_per_fu=-0.826 pbc="T T T"
Sc 0.000 0.000 6.701
Ce 1.675 1.675 4.360
Sc 0.000 0.000 2.020
In 1.675 1.675 0.000

---

Record 6
8
Lattice="4.633 0.000 0.000 0.000 4.633 0.000 0.000 0.000 9.190" Properties=species:S:1:pos:R:3 comment="CeScIn6 (PBE, relaxed)" volume_a3_per_cell=197 dos_ef_per_ev_atom=0.95 ef_ev_per_fu=-2.883 pbc="T T T"
In 2.316 0.000 2.384
In 0.000 2.316 2.384
Ce 0.000 0.000 0.000
In 2.316 0.000 6.806
In 2.316 2.316 0.000
In 0.000 2.316 6.806
In 2.316 2.316 4.595
Sc 0.000 0.000 4.595

---

Record 7
16
Lattice="4.663 0.000 0.000 0.000 4.663 0.000 0.000 0.000 18.656" Properties=species:S:1:pos:R:3 comment="Ce3ScIn12 (PBE, relaxed)" volume_a3_per_cell=406 dos_ef_per_ev_atom=1.32 ef_ev_per_fu=-6.126 pbc="T T T"
In 2.331 2.331 9.328
In 2.331 0.000 6.951
In 2.331 2.331 4.619
Ce 0.000 0.000 4.558
In 2.331 0.000 11.705
In 0.000 2.331 16.454
In 2.331 0.000 16.454
In 0.000 2.331 11.705
Ce 0.000 0.000 9.328
Ce 0.000 0.000 14.098
In 2.331 0.000 2.202
In 2.331 2.331 0.000
In 0.000 2.331 2.202
In 2.331 2.331 14.037
Sc 0.000 0.000 0.000
In 0.000 2.331 6.951

---

Record 8
3
Lattice="-0.726 2.966 0.507 -4.531 -1.483 2.189 4.293 0.543 2.967" Properties=species:S:1:pos:R:3 comment="CeScIn (PBE, relaxed)" volume_a3_per_cell=74 e_above_lowest_polymorph_mev_per_atom=237 dos_ef_per_ev_atom=2.38 ef_ev_per_fu=-0.234 pbc="T T T"
In 0.868 1.844 3.045
Sc -1.712 -0.309 2.534
Ce -0.120 0.491 0.084

---

Record 9
12
Lattice="-3.011 2.769 -2.235 -0.803 -3.381 -3.107 -10.324 -4.831 7.923" Properties=species:S:1:pos:R:3 comment="Ce2ScIn9 (PBE, relaxed)" volume_a3_per_cell=302 dos_ef_per_ev_atom=1.19 ef_ev_per_fu=-4.516 pbc="T T T"
Ce -6.940 -3.248 5.326
In -2.035 -2.455 -0.300
In -5.331 -1.908 -0.043
In -8.807 -3.534 2.624
In -3.139 0.620 0.136
In -5.564 -4.106 2.408
In -6.668 -1.031 2.844
In -9.092 -5.757 5.116
In -1.907 -0.306 -2.671
Sc 0.000 0.000 0.000
Ce -3.384 -1.583 2.597
In -10.196 -2.682 5.552

---

Record 10
10
Lattice="5.301 0.000 -1.315 0.000 6.513 0.000 -0.786 0.000 8.138" Properties=species:S:1:pos:R:3 comment="Ce3ScIn (PBE, relaxed)" volume_a3_per_cell=274 dos_ef_per_ev_atom=2.70 ef_ev_per_fu=-0.472 pbc="T T T"
In 3.423 4.885 2.423
Ce 0.330 3.009 1.327
Ce 4.186 3.504 5.496
Sc 1.800 1.628 7.220
Sc 2.715 4.885 -0.397
In 1.093 1.628 4.400
Ce 0.330 0.248 1.327
Ce 3.368 1.628 2.234
Ce 1.147 4.885 4.589
Ce 4.186 6.265 5.496

---

Record 11
18
Lattice="6.316 0.000 0.000 0.000 8.884 0.000 0.000 -4.442 7.693" Properties=species:S:1:pos:R:3 comment="CeSc5In3 (PBE, relaxed)" volume_a3_per_cell=432 dos_ef_per_ev_atom=1.38 ef_ev_per_fu=-3.122 pbc="T T T"
Sc 3.158 4.442 2.565
Sc 1.579 5.898 5.171
Sc 4.737 2.913 0.000
In 4.737 1.534 2.657
In 4.737 -2.908 5.036
In 1.579 3.068 0.000
Ce 0.000 0.000 0.000
In 4.737 5.815 0.000
Sc 1.579 5.971 0.000
Ce 3.158 0.000 0.000
In 1.579 7.349 2.657
Sc 4.737 -1.456 2.523
Sc 0.000 0.000 5.129
Sc 0.000 4.442 2.565
Sc 4.737 2.985 5.171
Sc 3.158 0.000 5.129
In 1.579 2.908 5.036
Sc 1.579 1.456 2.523

---

Record 12
12
Lattice="5.916 0.039 -0.057 -0.016 6.067 2.487 -0.169 -0.099 8.887" Properties=species:S:1:pos:R:3 comment="Ce6ScIn5 (PBE, relaxed)" volume_a3_per_cell=320 dos_ef_per_ev_atom=2.51 ef_ev_per_fu=-3.531 pbc="T T T"
In 3.852 4.008 7.536
Ce 2.954 1.582 0.613
Ce 0.901 2.473 6.955
Ce 4.837 0.511 3.123
Ce 0.894 5.496 8.195
Ce 2.777 4.424 10.704
Ce 4.830 3.533 4.362
In 1.829 5.062 4.952
In 3.902 0.945 6.366
In -0.008 3.033 1.243
In 1.879 1.999 3.781
Sc 0.000 0.000 0.000

---

Calculated E_tot, -5.54; -4.87; -5.18; -5.45; -5.54; -3.95; -3.95; -5.08; -3.95; -5.47; -5.44; -4.93 eV per atom (same order as the records).